(1)
DFT (PBE) results for an optimized crystal structure of Li2LaMn.

Cell: 11.2773 11.2773 11.2773 Å, 158.89 158.89 30.03°
Last column: nearest neighbours and their distance in Å.
Fractional coordinates of all 8 atoms:
Li 0.0661 0.1250 0.4411  2 Li 2.60
Li 0.3750 0.9339 0.0589  2 Li 2.60
Li 0.6839 0.6250 0.5589  2 Li 2.60
Li 0.8750 0.3161 0.9411  2 Li 2.60
La 0.2500 0.7500 0.5000  4 Mn 2.92, 4 Li 3.18
La 0.5000 0.5000 0.0000  4 Mn 2.92, 4 Li 3.18
Mn 0.0000 0.0000 0.0000  4 La 2.92, 4 Li 3.02
Mn 0.7500 0.2500 0.5000  4 La 2.92, 4 Li 3.02

- formation enthalpy at 0 K (eV/atom) = 0.39
- E above lowest polymorph (meV per atom) = 147
- calculated volume (Å³ per atom) = 23.238



(2)
DFT (PBE) results for an optimized crystal structure of MgTi.

Cell: 4.8522 9.1164 5.2935 Å, 90.00 90.00 90.00°
Last column: nearest neighbours and their distance in Å.
Fractional coordinates of all 12 atoms:
Mg 0.0000 0.0863 0.0000  7 Mg 2.98-3.08, 5 Ti 3.03-3.22
Mg 0.0000 0.4134 0.0147  9 Ti 2.92-2.99, 3 Mg 2.98-3.08
Mg 0.0000 0.5866 0.5147  9 Ti 2.92-2.99, 3 Mg 2.98-3.08
Mg 0.0000 0.9137 0.5000  7 Mg 2.98-3.08, 5 Ti 3.03-3.22
Mg 0.5000 0.0936 0.3309  6 Ti 2.98-3.28, 6 Mg 2.99-3.15
Mg 0.5000 0.9064 0.8309  6 Ti 2.98-3.28, 6 Mg 2.99-3.15
Ti 0.0000 0.2666 0.5198  4 Ti 2.87-3.02, 7 Mg 2.92-3.20
Ti 0.0000 0.7334 0.0198  4 Ti 2.87-3.02, 7 Mg 2.92-3.20
Ti 0.5000 0.2659 0.8102  4 Ti 2.78-2.95, 5 Mg 2.98-3.09
Ti 0.5000 0.4293 0.3295  6 Ti 2.78-3.02, 5 Mg 2.95-3.06
Ti 0.5000 0.5707 0.8295  6 Ti 2.78-3.02, 5 Mg 2.95-3.06
Ti 0.5000 0.7341 0.3102  4 Ti 2.78-2.95, 5 Mg 2.98-3.09

- formation enthalpy at 0 K (eV/atom) = 0.21
- calculated volume (Å³ per atom) = 19.513



(3)
DFT (PBE) results for an optimized crystal structure of HfReCl3.

Cell: 5.0267 5.0267 5.0267 Å, 90.00 90.00 90.00°
Last column: nearest neighbours and their distance in Å.
Fractional coordinates of all 5 atoms:
Hf 0.0000 0.0000 0.0000  6 Cl 2.51
Re 0.5000 0.5000 0.5000  12 Cl 3.55
Cl 0.0000 0.0000 0.5000  2 Hf 2.51
Cl 0.0000 0.5000 0.0000  2 Hf 2.51
Cl 0.5000 0.0000 0.0000  2 Hf 2.51

- E above lowest polymorph (meV per atom) = 0
- calculated volume (Å³ per atom) = 25.403



(4)
DFT (PBE) results for an optimized crystal structure of Li4MgPb.

Cell: 5.4990 5.4990 5.4990 Å, 60.00 60.00 60.00°
Last column: nearest neighbours and their distance in Å.
Fractional coordinates of all 6 atoms:
Li 0.1249 0.1249 0.1249  6 Li 2.75
Li 0.1249 0.1249 0.6254  6 Li 2.75
Li 0.1249 0.6254 0.1249  6 Li 2.75
Li 0.6254 0.1249 0.1249  6 Li 2.75
Mg 0.7500 0.7500 0.7500  12 Li 3.22, 4 Pb 3.37
Pb 0.5000 0.5000 0.5000  12 Li 3.22, 4 Mg 3.37

- formation enthalpy at 0 K (eV/atom) = -0.11
- E above lowest polymorph (meV per atom) = 109
- calculated volume (Å³ per atom) = 19.597



(5)
DFT (PBE) results for an optimized crystal structure of GdEr3.

Cell: 7.1731 7.1731 5.6469 Å, 90.00 90.00 120.00°
Last column: nearest neighbours and their distance in Å.
Fractional coordinates of all 8 atoms:
Gd 0.3333 0.6667 0.2500  12 Er 3.51-3.59
Gd 0.6667 0.3333 0.7500  12 Er 3.51-3.59
Er 0.1658 0.3316 0.7500  8 Er 3.49-3.61, 4 Gd 3.51-3.59
Er 0.1658 0.8342 0.7500  8 Er 3.49-3.61, 4 Gd 3.51-3.59
Er 0.3316 0.1658 0.2500  8 Er 3.49-3.61, 4 Gd 3.51-3.59
Er 0.6684 0.8342 0.7500  8 Er 3.49-3.61, 4 Gd 3.51-3.59
Er 0.8342 0.1658 0.2500  8 Er 3.49-3.61, 4 Gd 3.51-3.59
Er 0.8342 0.6684 0.2500  8 Er 3.49-3.61, 4 Gd 3.51-3.59

- formation enthalpy at 0 K (eV/atom) = 0.00
- E above lowest polymorph (meV per atom) = 0
- calculated volume (Å³ per atom) = 31.453



(6)
DFT (PBE) results for an optimized crystal structure of YAs2Cl.

Cell: 3.8913 3.8913 5.5240 Å, 90.00 90.00 90.00°
Last column: nearest neighbours and their distance in Å.
Fractional coordinates of all 4 atoms:
Y 0.0000 0.0000 0.0000  4 Cl 2.75
As 0.0000 0.5000 0.5000  4 As 2.75
As 0.5000 0.0000 0.5000  4 As 2.75
Cl 0.5000 0.5000 0.0000  4 Y 2.75

- E above lowest polymorph (meV per atom) = 133
- calculated volume (Å³ per atom) = 20.911